DFT (GGA+U) results for an optimized crystal structure of NaSiWO6.

Properties
- E: -6.77 eV/atom

a b c (Å): 5.0214 5.0214 5.1659
angles (deg): 90.00 90.00 120.00
Last column: nearest neighbours and their distance in Å.
Space group P312 (No. 149)
Symmetry-distinct sites (fractional):
Na 0.0000 0.0000 0.0000  6 O 2.46
Si 0.6667 0.3333 0.5000  6 O 1.80
W 0.3333 0.6667 0.5000  6 O 1.95
O 0.3891 0.0226 0.6973  1 Si 1.80, 1 W 1.95